! Ac3U5N12 | Alexandria | PBE-GGA | relaxed; values from VASP
! **Density**: 9.7 g/cm3
! **Crystal system**: cubic
! **Formation energy (no corrections)**: -117 kJ per mole of atoms
! **DOS at the Fermi energy**: 43.96 states/eV per cell
! **V**: 1402.8 Å³/cell
&SYSTEM
  ibrav = 0, nat = 80, ntyp = 3
/
ATOMIC_SPECIES
Ac 227.00 Ac.upf
U 238.03 U.upf
N 14.01 N.upf
ATOMIC_POSITIONS angstrom
Ac -4.977 -5.161 3.724
Ac -3.236 -8.874 5.078
Ac 3.350 -1.679 7.157
Ac -0.986 1.633 3.450
Ac -8.208 -2.330 4.164
Ac 1.548 -4.394 4.324
Ac -2.320 1.668 7.557
Ac 7.435 -0.396 7.717
Ac 0.213 -4.360 8.431
Ac -4.123 -1.047 4.724
Ac 2.463 6.147 6.803
Ac 4.204 2.435 8.157
U 2.246 -1.198 3.010
U 4.180 -4.229 1.394
U 0.000 0.000 0.000
U -1.840 -2.480 2.451
U -4.566 2.866 4.546
U -1.396 -6.393 2.628
U 5.633 -3.112 4.884
U -5.552 4.499 7.996
U -2.382 -4.760 6.078
U -1.622 4.865 6.243
U 0.850 -7.591 5.638
U -0.386 -1.363 5.941
U -5.576 -2.165 1.234
U 1.010 5.030 3.313
U 1.609 2.034 5.803
U 4.779 -7.225 3.885
U 5.190 0.801 4.707
U -6.406 0.385 6.997
U 1.067 -0.246 9.431
U -3.018 -1.529 8.871
N -6.683 -3.822 2.188
N 1.516 -1.801 4.904
N -7.137 -4.363 5.499
N -3.940 -2.674 2.630
N 0.776 -1.575 7.809
N -5.549 -7.576 5.239
N 3.957 -3.932 5.885
N 6.876 -7.058 3.639
N 2.848 -4.109 8.673
N -2.603 -6.104 4.457
N -4.217 -3.734 5.833
N -1.660 -10.977 4.685
N 5.499 -1.156 5.685
N -0.737 -4.286 2.529
N 7.473 -4.112 5.195
N -2.538 3.166 5.373
N 1.031 0.172 1.948
N 0.487 -6.756 3.727
N -0.849 -8.344 6.653
N 2.422 -3.128 2.158
N 5.592 -1.812 9.005
N -0.640 -3.556 6.046
N -2.066 -5.647 7.975
N -4.384 3.077 9.044
N -0.132 0.830 5.835
N 1.294 2.920 3.907
N 3.611 -5.804 2.837
N 0.077 5.618 5.228
N -6.364 -0.914 2.876
N -3.195 0.402 9.723
N -1.259 4.030 8.155
N 1.766 -5.892 6.509
N -1.803 -2.899 9.934
N -8.246 1.386 6.686
N -6.272 -1.570 6.196
N 0.887 8.250 7.196
N -0.036 1.560 9.353
N -3.620 1.383 3.208
N 1.830 3.378 7.424
N 3.445 1.007 6.048
N -7.648 4.332 8.242
N -4.730 1.205 5.996
N 3.168 -0.052 9.251
N 4.777 4.850 6.642
N -1.548 -1.151 4.073
N 6.365 1.637 6.382
N -2.289 -0.925 6.977
N 5.910 1.096 9.693
CELL_PARAMETERS angstrom
-11.152 -4.329 2.467
8.360 -8.458 2.788
2.020 10.061 6.626